YRuBr2: optimized geometry, PBE.

```
4
Lattice="-2.926 1.698 -1.169 1.907 -2.165 -2.118 -5.042 -6.934 2.548" Properties=species:S:1:pos:R:3 pbc="T T T"
Y -4.291 -5.434 0.268
Br -2.457 -3.379 1.242
Br -0.064 -0.088 0.032
Ru -1.770 -1.967 -1.006
```

Values from the calculation:
V = 97.2 Å³/f.u.
N(E_F) = 3.8 states/eV/cell
E_tot = -4.66 eV per atom
Space-group type = Cmmm (65)



ZnRuBr: optimized geometry, PBE.

```
3
Lattice="4.385 0.000 0.000 -2.193 3.798 0.000 0.000 0.000 3.085" Properties=species:S:1:pos:R:3 pbc="T T T"
Ru 2.193 1.266 0.513
Br 0.000 0.000 0.513
Zn 0.000 2.532 2.059
```

Values from the calculation:
V = 51.4 Å³/f.u.
N(E_F) = 3.2 states/eV/cell
E_tot = -3.43 eV per atom
Space-group type = P-6m2 (187)



ZnRu2Br: optimized geometry, PBE.

```
4
Lattice="8.408 0.009 0.005 7.890 2.906 0.005 7.890 1.411 2.540" Properties=species:S:1:pos:R:3 pbc="T T T"
Ru 12.103 2.165 1.276
Ru 24.180 4.325 2.550
Br 18.142 3.245 1.913
Zn 6.047 1.082 0.638
```

Values from the calculation:
V = 61.8 Å³/f.u.
N(E_F) = 2.7 states/eV/cell
E_tot = -4.81 eV per atom
Space-group type = R-3m (166)



ZnRu2Br: optimized geometry, PBE.

```
4
Lattice="-1.272 1.542 -2.177 -1.293 -2.470 -0.994 -7.571 -1.043 3.685" Properties=species:S:1:pos:R:3 pbc="T T T"
Ru -2.616 0.182 -0.349
Ru -1.389 -2.101 -0.676
Br -6.636 -0.277 1.675
Zn -3.928 -1.531 1.210
```

Values from the calculation:
V = 69.6 Å³/f.u.
N(E_F) = 3.4 states/eV/cell
E_tot = -5.14 eV per atom
Space-group type = Pm (6)



ZnRuBr: optimized geometry, PBE.

```
3
Lattice="-0.451 -4.347 -0.785 1.641 -1.765 -3.730 3.545 -2.668 0.178" Properties=species:S:1:pos:R:3 pbc="T T T"
Br 0.000 0.000 0.000
Ru 2.368 -4.390 -2.168
Zn 3.551 -6.585 -3.253
```

Values from the calculation:
V = 61.9 Å³/f.u.
N(E_F) = 2.6 states/eV/cell
E_tot = -3.04 eV per atom
Space-group type = F-43m (216)



ZnRu2Br: optimized geometry, PBE.

```
4
Lattice="-4.833 1.814 1.060 -1.613 -0.995 4.917 3.411 2.456 -3.179" Properties=species:S:1:pos:R:3 pbc="T T T"
Ru -0.058 0.007 0.054
Ru -3.165 0.402 2.935
Br -0.713 0.935 2.364
Zn -2.322 2.340 0.435
```

Values from the calculation:
V = 63.6 Å³/f.u.
N(E_F) = 5.0 states/eV/cell
E_tot = -4.65 eV per atom
Space-group type = Immm (71)



| no. | energy above the lowest structure with this stoichiometry (eV per atom) |
| --- | --- |
| 1 | 0.725 |
| 2 | 0.239 |
| 3 | 0.327 |
| 4 | 0.000 |
| 5 | 0.627 |
| 6 | 0.487 |